Entry 1:
## Pm2Er2Tl (GGA-PBE)

Data for crystalline Pm2Er2Tl at its relaxed geometry.

a = 5.4592 Å, b = 5.4592 Å, c = 12.1715 Å
α = 90.00°, β = 90.00°, γ = 120.00°
With the nearest neighbours (Å) after each atom.
Element x y z (fractional)
Pm: 0.3333 0.6667 0.0860  3 Er 3.32
Pm: 0.3333 0.6667 0.4140  3 Er 3.32
Pm: 0.6667 0.3333 0.5860  3 Er 3.32
Pm: 0.6667 0.3333 0.9140  3 Er 3.32
Er: 0.0000 0.0000 0.0000  2 Tl 3.04, 6 Pm 3.32
Er: 0.0000 0.0000 0.5000  2 Tl 3.04, 6 Pm 3.32
Er: 0.3333 0.6667 0.7500  3 Tl 3.15
Er: 0.6667 0.3333 0.2500  3 Tl 3.15
Tl: 0.0000 0.0000 0.2500  5 Er 3.04-3.15
Tl: 0.0000 0.0000 0.7500  5 Er 3.04-3.15

Results
Distance to the lowest polymorph of the same formula = 0.0472 eV/atom

=====

Entry 2:
## Pm15ErTl4 (GGA-PBE)

Data for crystalline Pm15ErTl4 at its relaxed geometry.

a = 4.9600 Å, b = 4.9600 Å, c = 25.3244 Å
α = 90.00°, β = 90.00°, γ = 90.00°
With the nearest neighbours (Å) after each atom.
Element x y z (fractional)
Pm: 0.0000 0.0000 0.0000  4 Er 3.51, 8 Pm 3.62
Pm: 0.0000 0.0000 0.2035  4 Tl 3.51, 8 Pm 3.53
Pm: 0.0000 0.0000 0.4015  4 Tl 3.51, 8 Pm 3.52
Pm: 0.0000 0.0000 0.5985  4 Tl 3.51, 8 Pm 3.52
Pm: 0.0000 0.0000 0.7965  4 Tl 3.51, 8 Pm 3.53
Pm: 0.0000 0.5000 0.1040  8 Pm 3.51-3.62, 2 Tl 3.57, 2 Er 3.62
Pm: 0.0000 0.5000 0.3026  4 Tl 3.49-3.52, 8 Pm 3.51-3.53
Pm: 0.0000 0.5000 0.5000  8 Pm 3.51-3.52, 4 Tl 3.52
Pm: 0.0000 0.5000 0.6974  4 Tl 3.49-3.52, 8 Pm 3.51-3.53
Pm: 0.0000 0.5000 0.8960  8 Pm 3.51-3.62, 2 Tl 3.57, 2 Er 3.62
Pm: 0.5000 0.0000 0.1040  8 Pm 3.51-3.62, 2 Tl 3.57, 2 Er 3.62
Pm: 0.5000 0.0000 0.3026  4 Tl 3.49-3.52, 8 Pm 3.51-3.53
Pm: 0.5000 0.0000 0.5000  8 Pm 3.51-3.52, 4 Tl 3.52
Pm: 0.5000 0.0000 0.6974  4 Tl 3.49-3.52, 8 Pm 3.51-3.53
Pm: 0.5000 0.0000 0.8960  8 Pm 3.51-3.62, 2 Tl 3.57, 2 Er 3.62
Er: 0.5000 0.5000 0.0000  12 Pm 3.51-3.62
Tl: 0.5000 0.5000 0.2056  12 Pm 3.49-3.57
Tl: 0.5000 0.5000 0.4015  12 Pm 3.51-3.52
Tl: 0.5000 0.5000 0.5985  12 Pm 3.51-3.52
Tl: 0.5000 0.5000 0.7944  12 Pm 3.49-3.57

=====

Entry 3:
## Pm2Er2Tl3 (GGA-PBE)

Data for crystalline Pm2Er2Tl3 at its relaxed geometry.

a = 3.7841 Å, b = 6.4793 Å, c = 8.6507 Å
α = 85.73°, β = 89.97°, γ = 73.06°
With the nearest neighbours (Å) after each atom.
Element x y z (fractional)
Pm: 0.2064 0.0884 0.1592  5 Tl 3.32-3.67, 3 Er 3.53-3.59, 2 Pm 3.58-3.59
Pm: 0.7936 0.9116 0.8408  5 Tl 3.32-3.67, 3 Er 3.53-3.59, 2 Pm 3.58-3.59
Er: 0.0632 0.3735 0.7158  6 Tl 3.17-3.46, 2 Pm 3.53
Er: 0.9368 0.6265 0.2842  6 Tl 3.17-3.46, 2 Pm 3.53
Tl: 0.3533 0.7931 0.5435  4 Er 3.17-3.46, 2 Tl 3.23, 2 Pm 3.32
Tl: 0.5000 0.5000 0.0000  4 Er 3.25, 4 Pm 3.38
Tl: 0.6467 0.2069 0.4565  4 Er 3.17-3.46, 2 Tl 3.23, 2 Pm 3.32

Results
Distance to the lowest polymorph of the same formula = 0.0000 eV/atom

=====

Entry 4:
## Pm4Er15Tl (GGA-PBE)

Data for crystalline Pm4Er15Tl at its relaxed geometry.

a = 4.9538 Å, b = 4.9538 Å, c = 25.0746 Å
α = 90.00°, β = 90.00°, γ = 90.00°
With the nearest neighbours (Å) after each atom.
Element x y z (fractional)
Pm: 0.0000 0.0000 0.1012  12 Er 3.50-3.55
Pm: 0.0000 0.0000 0.3019  12 Er 3.50-3.55
Pm: 0.0000 0.0000 0.6981  12 Er 3.50-3.55
Pm: 0.0000 0.0000 0.8988  12 Er 3.50-3.55
Er: 0.0000 0.5000 0.0000  8 Er 3.50-3.55, 4 Pm 3.55
Er: 0.0000 0.5000 0.2017  8 Er 3.50-3.59, 4 Pm 3.53
Er: 0.0000 0.5000 0.4034  2 Tl 3.46, 8 Er 3.46-3.50, 2 Pm 3.55
Er: 0.0000 0.5000 0.5966  8 Er 3.46-3.50, 2 Tl 3.46, 2 Pm 3.55
Er: 0.0000 0.5000 0.7983  8 Er 3.50-3.59, 4 Pm 3.53
Er: 0.5000 0.0000 0.0000  8 Er 3.50-3.55, 4 Pm 3.55
Er: 0.5000 0.0000 0.2017  8 Er 3.50-3.59, 4 Pm 3.53
Er: 0.5000 0.0000 0.4034  2 Tl 3.46, 8 Er 3.46-3.50, 2 Pm 3.55
Er: 0.5000 0.0000 0.5966  8 Er 3.46-3.50, 2 Tl 3.46, 2 Pm 3.55
Er: 0.5000 0.0000 0.7983  8 Er 3.50-3.59, 4 Pm 3.53
Er: 0.5000 0.5000 0.1014  4 Pm 3.50, 8 Er 3.53-3.55
Er: 0.5000 0.5000 0.3054  8 Er 3.49-3.59, 4 Pm 3.50
Er: 0.5000 0.5000 0.5000  8 Er 3.46, 4 Tl 3.50
Er: 0.5000 0.5000 0.6946  8 Er 3.49-3.59, 4 Pm 3.50
Er: 0.5000 0.5000 0.8986  4 Pm 3.50, 8 Er 3.53-3.55
Tl: 0.0000 0.0000 0.5000  12 Er 3.46-3.50

=====

Entry 5:
## Pm2ErTl3 (GGA-PBE)

Data for crystalline Pm2ErTl3 at its relaxed geometry.

a = 14.6257 Å, b = 14.6257 Å, c = 6.7405 Å
α = 90.00°, β = 90.00°, γ = 165.32°
With the nearest neighbours (Å) after each atom.
Element x y z (fractional)
Pm: 0.0052 0.9948 0.7500  8 Tl 3.31-3.46, 2 Pm 3.38
Pm: 0.1540 0.8460 0.2500  6 Tl 3.26-3.32
Pm: 0.8460 0.1540 0.7500  6 Tl 3.26-3.32
Pm: 0.9948 0.0052 0.2500  8 Tl 3.31-3.46, 2 Pm 3.38
Er: 0.3322 0.6678 0.2500  4 Tl 3.12-3.14
Er: 0.6678 0.3322 0.7500  4 Tl 3.12-3.14
Tl: 0.2538 0.7462 0.7500  2 Er 3.12, 2 Pm 3.26
Tl: 0.4221 0.5779 0.5088  1 Er 3.14, 2 Tl 3.25-3.49, 6 Pm 3.31-3.46
Tl: 0.4221 0.5779 0.9912  1 Er 3.14, 2 Tl 3.25-3.49, 6 Pm 3.31-3.46
Tl: 0.5779 0.4221 0.0088  1 Er 3.14, 2 Tl 3.25-3.49, 6 Pm 3.31-3.46
Tl: 0.5779 0.4221 0.4912  1 Er 3.14, 2 Tl 3.25-3.49, 6 Pm 3.31-3.46
Tl: 0.7462 0.2538 0.2500  2 Er 3.12, 2 Pm 3.26

Results
Distance to the lowest polymorph of the same formula = 0.1351 eV/atom

=====

Entry 6:
## Pm5Er8Tl (GGA-PBE)

Data for crystalline Pm5Er8Tl at its relaxed geometry.

a = 8.4162 Å, b = 8.4162 Å, c = 9.5627 Å
α = 124.58°, β = 124.58°, γ = 73.13°
With the nearest neighbours (Å) after each atom.
Element x y z (fractional)
Pm: 0.0000 0.0000 0.0000  8 Er 3.13-3.31
Pm: 0.3214 0.4775 0.1119  8 Er 3.37-3.63, 2 Pm 3.54-3.55
Pm: 0.3658 0.2092 0.6866  8 Er 3.37-3.62, 2 Pm 3.54-3.55
Pm: 0.5225 0.6786 0.8881  8 Er 3.37-3.63, 2 Pm 3.54-3.55
Pm: 0.7908 0.6342 0.3134  8 Er 3.37-3.62, 2 Pm 3.54-3.55
Er: 0.0279 0.8312 0.2519  5 Pm 3.31-3.63, 4 Er 3.66-3.67
Er: 0.0566 0.5692 0.7302  1 Tl 3.10, 3 Pm 3.13-3.44
Er: 0.1688 0.9721 0.7481  5 Pm 3.31-3.63, 4 Er 3.66-3.67
Er: 0.2240 0.4206 0.3928  5 Pm 3.31-3.62, 4 Er 3.66-3.68
Er: 0.4308 0.9434 0.2698  1 Tl 3.10, 3 Pm 3.13-3.44
Er: 0.5794 0.7760 0.6072  5 Pm 3.31-3.62, 4 Er 3.66-3.68
Er: 0.6731 0.1603 0.1039  1 Tl 3.10, 3 Pm 3.13-3.45
Er: 0.8397 0.3269 0.8961  1 Tl 3.10, 3 Pm 3.13-3.45
Tl: 0.7506 0.2494 0.5000  4 Er 3.10

=====

no.,theoretical density (g/cm3),calculated total energy (eV/atom),calculated formation energy (kJ per mole of atoms)
1,8.76,-4.194,0.5
2,8.42,-4.418,-14.8
3,10.16,-3.916,-23.2
4,8.89,-4.501,-1.0
5,9.73,-3.761,-22.5
6,8.21,-4.286,18.0